Entry 1:
Compound: TbPm3Y2
Source: the Alexandria database
Functional: GGA-PBE
Structure: optimized geometry

The structure in POSCAR format:
```
TbPm3Y2
1.0
7.275 0.000 0.000
0.000 6.300 -0.207
-3.638 -1.812 8.793
Tb Pm Y
2 6 4
Cartesian
4.537 4.725 -0.155
2.738 1.575 -0.052
6.352 1.575 -0.052
0.923 4.725 -0.155
-0.911 -0.444 2.928
2.727 1.782 5.761
0.911 2.705 2.824
4.548 4.932 5.658
4.541 2.729 2.817
2.735 -0.420 2.921
0.903 4.908 5.665
-0.903 1.758 5.769
```

final energy = -63.60 eV/cell
magnetization = 0.0 μB/f.u.
space-group type = C2/c (15)



Entry 2:
Compound: Tb2Pm3Y5
Source: the Alexandria database
Functional: GGA-PBE
Structure: optimized geometry

The structure in POSCAR format:
```
Tb2Pm3Y5
1.0
-5.207 2.666 3.578
-10.167 -6.415 -3.445
-6.419 -9.748 4.492
Tb Pm Y
4 6 10
Cartesian
-14.844 -14.152 2.084
-6.948 0.655 2.542
-18.132 -12.210 2.423
-3.660 -1.287 2.203
-1.302 0.666 0.895
-3.905 1.999 2.684
-11.440 -10.016 3.956
-10.353 -3.481 0.670
-15.905 -7.028 1.803
-5.887 -6.469 2.823
-9.595 -7.415 1.418
-12.198 -6.082 3.207
-15.070 -10.834 2.569
-4.119 -3.996 0.268
-6.723 -2.663 2.057
-17.673 -9.501 4.358
-7.193 -5.373 0.107
-14.599 -8.124 4.519
-9.098 -4.661 3.374
-12.694 -8.836 1.252
```

offset from the most stable computed form = 214 meV/atom
magnetization = 0.0 μB/f.u.
space-group type = Ibam (72)



Entry 3:
Compound: Tb3Pm5Y2
Source: the Alexandria database
Functional: GGA-PBE
Structure: optimized geometry

The structure in POSCAR format:
```
Tb3Pm5Y2
1.0
-5.690 -2.491 -7.974
2.959 3.743 -8.908
5.561 -6.615 7.318
Tb Pm Y
6 10 4
Cartesian
6.921 -3.242 -3.536
-4.091 -2.120 -6.027
-1.327 -1.690 -8.115
4.157 -3.673 -1.449
3.536 1.197 -5.340
-0.706 -6.559 -4.223
0.220 1.017 -6.491
2.611 -6.380 -3.073
5.163 -0.733 -3.066
0.849 -3.865 -2.601
-2.333 -4.630 -6.498
1.981 -1.497 -6.962
1.068 -4.818 -7.055
1.762 -0.545 -2.509
2.412 -5.457 1.375
0.418 0.094 -10.939
-0.168 -6.818 -0.975
2.998 1.455 -8.589
3.643 -3.449 -4.703
-0.813 -1.913 -4.861
```

final energy = -97.48 eV/cell
magnetization = 0.0 μB/f.u.
space-group type = C2/c (15)



Entry 4:
Compound: Tb6PmY4
Source: the Alexandria database
Functional: GGA-PBE
Structure: optimized geometry

The structure in POSCAR format:
```
Tb6PmY4
1.0
-9.167 0.231 -3.426
8.251 -5.215 -0.743
5.135 -3.096 7.738
Tb Pm Y
6 1 4
Cartesian
8.997 -5.619 2.897
7.885 -4.863 5.925
4.062 -4.472 2.610
-0.458 -2.492 -2.085
-3.339 -1.438 -0.867
-2.016 -1.433 2.156
0.000 0.000 0.000
5.326 -3.365 -0.383
1.418 -2.921 1.251
3.375 -2.038 4.929
7.486 -8.068 4.766
```

offset from the most stable computed form = 0 meV/atom
magnetization = 0.0 μB/f.u.
space-group type = I-42m (121)



Entry 5:
Compound: Tb4Pm5Y
Source: the Alexandria database
Functional: GGA-PBE
Structure: optimized geometry

The structure in POSCAR format:
```
Tb4Pm5Y
1.0
-2.855 0.488 -2.142
5.170 -4.531 -7.923
-1.359 -8.740 2.850
Tb Pm Y
4 5 1
Cartesian
2.946 -9.522 -6.095
-0.029 -10.931 -5.480
-1.990 -3.261 -1.120
0.985 -1.852 -1.735
-0.078 -7.735 -4.687
-2.219 -6.887 -1.640
3.175 -5.896 -5.575
1.157 -2.021 -5.033
1.034 -5.048 -2.528
-1.428 0.244 -1.071
```

final energy = -47.24 eV/cell
magnetization = 0.0 μB/f.u.
space-group type = C2/m (12)



Entry 6:
Compound: Tb6Pm6Y
Source: the Alexandria database
Functional: GGA-PBE
Structure: optimized geometry

The structure in POSCAR format:
```
Tb6Pm6Y
1.0
6.600 0.290 0.000
-3.048 5.863 0.000
0.000 0.000 11.253
Tb Pm Y
6 6 1
Cartesian
-1.524 2.931 8.732
3.300 0.145 8.737
1.776 3.076 7.836
3.300 0.145 2.516
-1.524 2.931 2.522
1.776 3.076 3.417
0.000 0.000 7.553
0.000 0.000 3.700
0.395 3.867 0.000
3.157 2.286 0.000
-0.517 4.402 5.627
4.069 1.751 5.627
0.000 0.000 0.000
```

final energy = -59.89 eV/cell
magnetization = 0.0 μB/f.u.
space-group type = P2/m (10)



Entry 7:
Compound: Tb7PmY3
Source: the Alexandria database
Functional: GGA-PBE
Structure: optimized geometry

The structure in POSCAR format:
```
Tb7PmY3
1.0
-5.622 4.093 5.153
1.848 -4.231 5.377
3.459 6.093 -1.065
Tb Pm Y
7 1 3
Cartesian
2.533 4.837 0.617
0.817 1.813 1.146
1.700 -0.291 3.857
-0.407 -0.658 6.610
-1.324 1.441 3.943
1.309 2.364 6.082
3.451 2.737 3.286
0.428 4.467 3.368
-1.755 4.137 6.199
-3.481 1.096 6.730
-0.833 2.025 8.882
```

offset from the most stable computed form = 47 meV/atom
magnetization = 0.0 μB/f.u.
space-group type = P3m1 (156)



Entry 8:
Compound: Tb10PmY4
Source: the Alexandria database
Functional: GGA-PBE
Structure: optimized geometry

The structure in POSCAR format:
```
Tb10PmY4
1.0
9.611 0.000 4.340
4.806 6.876 2.170
1.976 0.000 8.436
Tb Pm Y
10 1 4
Cartesian
5.793 3.438 6.388
8.591 2.244 10.669
2.355 0.687 3.525
10.983 6.188 10.042
10.855 4.632 5.656
7.801 4.632 4.277
10.599 3.438 8.558
5.537 2.244 9.290
5.409 0.687 4.904
14.037 6.188 11.421
0.000 0.000 0.000
7.915 5.038 8.095
12.343 2.755 11.101
4.049 4.121 3.845
8.477 1.838 6.851
```

final energy = -71.88 eV/cell
magnetization = 0.0 μB/f.u.
space-group type = I4/m (87)



Entry 9:
Compound: Tb2Pm5Y12
Source: the Alexandria database
Functional: GGA-PBE
Structure: optimized geometry

The structure in POSCAR format:
```
Tb2Pm5Y12
1.0
9.387 0.000 0.000
-4.694 7.734 1.154
0.000 -1.597 8.552
Tb Pm Y
2 5 12
Cartesian
6.315 0.000 0.000
3.072 0.000 0.000
0.000 2.646 5.419
0.000 2.991 9.064
0.000 -0.798 4.276
4.694 3.146 0.641
4.694 3.491 4.287
4.694 6.379 2.056
-3.015 4.221 7.331
3.015 4.221 7.331
-1.787 5.203 3.711
1.787 5.203 3.711
0.000 5.785 6.723
4.694 0.352 2.982
6.480 0.934 5.995
2.907 0.934 5.995
7.708 1.916 2.375
1.679 1.916 2.375
0.000 -0.242 7.650
```

offset from the most stable computed form = 6 meV/atom
magnetization = 0.0 μB/f.u.
space-group type = C2/m (12)



Entry 10:
Compound: Tb5Pm3Y2
Source: the Alexandria database
Functional: GGA-PBE
Structure: optimized geometry

The structure in POSCAR format:
```
Tb5Pm3Y2
1.0
-9.543 -0.016 -5.503
-3.386 -7.845 -5.131
-7.934 -5.370 2.748
Tb Pm Y
10 6 4
Cartesian
-8.046 -6.611 -2.567
-12.817 -6.619 -5.318
-13.258 -9.895 -4.544
-12.376 -3.344 -6.092
-7.605 -3.336 -3.341
-8.487 -9.887 -1.793
-5.030 -5.214 -2.288
-15.833 -8.016 -5.597
-10.626 -4.773 -3.610
-10.237 -8.457 -4.275
-2.386 -0.004 -1.376
-7.157 -0.012 -4.127
-11.799 -7.666 -1.569
-9.065 -5.565 -6.316
-14.286 -8.917 -8.277
-6.577 -4.314 0.392
-11.527 -11.308 -2.029
-9.336 -1.923 -5.856
-15.434 -11.786 -6.278
-5.429 -1.444 -1.607
```

offset from the most stable computed form = 202 meV/atom
magnetization = 0.0 μB/f.u.
space-group type = Ibam (72)